[1]
Entry from Alexandria via LeMat-Bulk: a relaxed structure of FeReAg2 (PBE-GGA).

a = 5.6095 Å, b = 5.6095 Å, c = 5.6095 Å
α = 151.85°, β = 130.99°, γ = 57.48°
Last column: magnetic moment on the atom in μB.
Atoms (fractional coordinates):
Ag 0.9887 0.9887 0.0000  0.02
Ag 0.5113 0.5113 0.0000  0.02
Fe 0.7500 0.2500 0.5000  2.61
Re 0.2500 0.7500 0.5000  -0.12

***

[2]
Entry from Alexandria via LeMat-Bulk: a relaxed structure of FeReAg2 (PBE-GGA).

a = 4.4072 Å, b = 4.4072 Å, c = 4.4072 Å
α = 60.00°, β = 60.00°, γ = 60.00°
Atoms (fractional coordinates):
Re 0.5000 0.5000 0.5000
Fe 0.0000 0.0000 0.0000
Ag 0.2500 0.2500 0.2500
Ag 0.7500 0.7500 0.7500

***

[3]
Entry from Alexandria via LeMat-Bulk: a relaxed structure of FeReAg2 (PBE-GGA).

a = 4.6947 Å, b = 4.6947 Å, c = 4.6947 Å
α = 128.51°, β = 128.51°, γ = 75.80°
Last column: magnetic moment on the atom in μB.
Atoms (fractional coordinates):
Ag 0.0000 0.0000 0.0000  -0.02
Ag 0.2500 0.7500 0.5000  0.02
Fe 0.5000 0.5000 0.0000  2.57
Re 0.7500 0.2500 0.5000  -0.47

***

[4]
Entry from Alexandria via LeMat-Bulk: a relaxed structure of FeReAg2 (PBE-GGA).

a = 5.0382 Å, b = 5.0382 Å, c = 5.0382 Å
α = 135.54°, β = 135.54°, γ = 64.70°
Last column: magnetic moment on the atom in μB.
Atoms (fractional coordinates):
Ag 0.0000 0.0000 0.0000  -0.05
Ag 0.5000 0.5000 0.0000  -0.05
Fe 0.2500 0.7500 0.5000  2.62
Re 0.7500 0.2500 0.5000  -0.53

***

Number 1: energy of formation 0.653 eV per atom, final energy -6.00 eV per atom, ΔE to the lowest computed polymorph 0.3105 eV per atom. Number 2: energy of formation 1.151 eV per atom, final energy -5.50 eV per atom, ΔE to the lowest computed polymorph 0.8087 eV per atom. Number 3: energy of formation 0.766 eV per atom, final energy -5.89 eV per atom, ΔE to the lowest computed polymorph 0.4234 eV per atom. Number 4: energy of formation 0.804 eV per atom, final energy -5.85 eV per atom, ΔE to the lowest computed polymorph 0.4620 eV per atom.